Computed, not measured: a relaxed DyZn2Co crystal at the PBE level of DFT.

Cell: 4.1163 4.1163 14.6762 Å, 90.00 90.00 120.00°
Space group R-3m (No. 166, hexagonal axes)
One atom of each set of equivalent atoms:
Dy: 0.0000 0.0000 0.0000
Zn: 0.0000 0.0000 0.2082
Co: 0.0000 0.0000 0.5000

Output
- Crystal system: trigonal
- Total magnetization: 0.0 μB per formula unit
- Energy of formation: -0.140 eV per atom

---

Computed, not measured: a relaxed Dy2Zn3Co2 crystal at the PBE level of DFT.

Cell: 9.640 4.169 6.310 Å, 90.00 104.10 90.00°
Space group C2/m (No. 12)
One atom of each set of equivalent atoms:
Dy: 0.121 0.000 0.347
Zn: 0.000 0.500 0.000
Zn: 0.201 0.000 0.873
Co: 0.082 0.500 0.661

Output
- Crystal system: monoclinic
- Total magnetization: 0.9 μB per formula unit
- Energy of formation: -0.257 eV per atom

---

Computed, not measured: a relaxed DyZrCo4 crystal at the PBE level of DFT.

Cell: 7.038 7.038 7.038 Å, 90.00 90.00 90.00°
Space group F-43m (No. 216)
One atom of each set of equivalent atoms:
Dy: 0.000 0.000 0.000
Zr: 0.250 0.250 0.750
Co: 0.125 0.125 0.375

Output
- Crystal system: cubic
- Total magnetization: 2.9 μB per formula unit
- Energy of formation: -0.230 eV per atom

---

Computed, not measured: a relaxed DyZrCo crystal at the PBE level of DFT.

Cell: 3.301 3.301 11.476 Å, 90.00 90.00 90.00°
Space group I4mm (No. 107)
One atom of each set of equivalent atoms:
Dy: 0.000 0.000 0.000
Zr: 0.000 0.000 0.282
Co: 0.000 0.000 0.664

Output
- Relative energy among the computed polymorphs: 0.326 eV/f.u.
- Crystal system: tetragonal
- Total magnetization: 1.6 μB per formula unit
- Energy of formation: -0.068 eV per atom

---

Computed, not measured: a relaxed Dy2ZrCo crystal at the PBE level of DFT.

Cell: 6.628 9.268 6.147 Å, 90.00 90.00 90.00°
Space group Pnma (No. 62)
One atom of each set of equivalent atoms:
Dy: 0.181 0.065 0.177
Zr: 0.045 0.250 0.648
Co: 0.116 0.750 0.976

Output
- Relative energy among the computed polymorphs: 0.000 eV/f.u.
- Crystal system: orthorhombic
- Total magnetization: 0.0 μB per formula unit
- Energy of formation: -0.129 eV per atom

---

Computed, not measured: a relaxed DyZrCo crystal at the PBE level of DFT.

Cell: 7.721 4.483 8.021 Å, 90.00 108.64 90.00°
Space group C2/m (No. 12)
One atom of each set of equivalent atoms:
Dy: 0.124 0.000 0.370
Zr: 0.205 0.500 0.113
Co: 0.091 0.500 0.777

Output
- Relative energy among the computed polymorphs: 0.419 eV/f.u.
- Crystal system: monoclinic
- Total magnetization: 0.0 μB per formula unit
- Energy of formation: -0.037 eV per atom

---

Computed, not measured: a relaxed DyZr2Co3 crystal at the PBE level of DFT.

Cell: 3.213 3.213 9.868 Å, 90.00 90.00 90.00°
Space group P4/mmm (No. 123)
One atom of each set of equivalent atoms:
Dy: 0.000 0.000 0.000
Zr: 0.000 0.000 0.337
Co: 0.500 0.500 0.194
Co: 0.500 0.500 0.500

Output
- Crystal system: tetragonal
- Total magnetization: 0.4 μB per formula unit
- Energy of formation: -0.255 eV per atom

---

Computed, not measured: a relaxed DyZrCo crystal at the PBE level of DFT.

Cell: 3.457 6.339 11.663 Å, 90.00 90.00 90.00°
Space group Immm (No. 71)
One atom of each set of equivalent atoms:
Dy: 0.000 0.000 0.214
Zr: 0.000 0.245 0.500
Co: 0.000 0.500 0.109

Output
- Relative energy among the computed polymorphs: 0.000 eV/f.u.
- Crystal system: orthorhombic
- Total magnetization: 0.0 μB per formula unit
- Energy of formation: -0.177 eV per atom

---

Computed, not measured: a relaxed DyZrCo10 crystal at the PBE level of DFT.

Cell: 3.959 4.835 8.385 Å, 90.00 90.00 90.00°
Space group Pmmm (No. 47)
One atom of each set of equivalent atoms:
Dy: 0.000 0.000 0.000
Zr: 0.000 0.500 0.500
Co: 0.000 0.000 0.342
Co: 0.000 0.500 0.177
Co: 0.500 0.000 0.500
Co: 0.500 0.253 0.255
Co: 0.500 0.500 0.000

Output
- Crystal system: orthorhombic
- Total magnetization: 13.5 μB per formula unit
- Energy of formation: -0.114 eV per atom

---

Computed, not measured: a relaxed DyZr2Co crystal at the PBE level of DFT.

Cell: 3.263 3.263 7.979 Å, 90.00 90.00 90.00°
Space group P4/mmm (No. 123)
One atom of each set of equivalent atoms:
Dy: 0.000 0.000 0.000
Zr: 0.500 0.500 0.305
Co: 0.000 0.000 0.500

Output
- Relative energy among the computed polymorphs: 0.601 eV/f.u.
- Crystal system: tetragonal
- Total magnetization: 1.4 μB per formula unit
- Energy of formation: -0.012 eV per atom

---

Computed, not measured: a relaxed Dy2ZrCo crystal at the PBE level of DFT.

Cell: 3.378 3.378 8.016 Å, 90.00 90.00 90.00°
Space group P4/mmm (No. 123)
One atom of each set of equivalent atoms:
Dy: 0.000 0.000 0.204
Zr: 0.500 0.500 0.500
Co: 0.500 0.500 0.000

Output
- Relative energy among the computed polymorphs: 0.557 eV/f.u.
- Crystal system: tetragonal
- Total magnetization: 0.7 μB per formula unit
- Energy of formation: 0.010 eV per atom

---

Computed, not measured: a relaxed DyZr2Co crystal at the PBE level of DFT.

Cell: 6.869 6.869 6.869 Å, 90.00 90.00 90.00°
Space group Fm-3m (No. 225)
One atom of each set of equivalent atoms:
Dy: 0.000 0.000 0.000
Zr: 0.250 0.250 0.250
Co: 0.000 0.000 0.500

Output
- Relative energy among the computed polymorphs: 1.699 eV/f.u.
- Crystal system: cubic
- Total magnetization: 1.0 μB per formula unit
- Energy of formation: 0.262 eV per atom